[1]
A relaxed structure of NiIrPt2, computed with PBEsol.

Structure (POSCAR):
```
NiIrPt2
1.0
3.7943 0.0000 0.0000
0.0000 3.7943 0.0000
-1.8972 -1.8972 3.7969
Ni Pt Ir
1 2 1
direct
0.5000 0.5000 0.0000 Ni
0.2500 0.7500 0.5000 Pt
0.7500 0.2500 0.5000 Pt
0.0000 0.0000 0.0000 Ir
```

Calculated values
* uncorrected energy: -7.464 eV per atom
* space group: I4/mmm, No. 139
* formation energy: 13 meV per atom

---

[2]
A relaxed structure of Rb3LaN, computed with PBEsol.

Structure (POSCAR):
```
Rb3LaN
1.0
7.3841 0.0000 0.0000
0.0000 7.3841 0.0000
0.0000 0.0000 7.3841
Rb N La
3 1 1
direct
0.0000 0.5000 0.0000 Rb
0.0000 0.0000 0.5000 Rb
0.5000 0.0000 0.0000 Rb
0.5000 0.5000 0.5000 N
0.0000 0.0000 0.0000 La
```

Calculated values
* uncorrected energy: -1.646 eV per atom
* space group: Pm-3m, No. 221

---

[3]
A relaxed structure of InPtAu2, computed with PBEsol.

Structure (POSCAR):
```
InPtAu2
1.0
4.0659 0.0000 0.0000
0.0000 4.0640 0.0000
0.0000 0.0000 4.1255
In Pt Au
1 1 2
direct
0.5000 0.0000 0.5000 In
0.0000 0.5000 0.5000 Pt
0.5000 0.5000 0.0000 Au
0.0000 0.0000 0.0000 Au
```

Calculated values
* uncorrected energy: -4.652 eV per atom
* space group: P4/mmm, No. 123
* formation energy: -204 meV per atom

---

[4]
A relaxed structure of YMn2Ru, computed with PBEsol.

Structure (POSCAR):
```
YMn2Ru
1.0
-2.2369 3.2396 0.6452
-3.5830 -0.3596 1.7170
0.1570 1.5134 5.2793
Ru Mn Y
1 2 1
direct
0.5540 0.5540 0.3379 Ru
0.2533 0.2533 0.2400 Mn
0.9407 0.9407 0.1780 Mn
0.7479 0.7479 0.7564 Y
```

Calculated values
* uncorrected energy: -8.936 eV per atom
* space group: R3m, No. 160
* formation energy: 193 meV per atom

---

[5]
A relaxed structure of Li4TiMn3P4O16, computed with PBEsol.

Structure (POSCAR):
```
Li4TiMn3P4O16
1.0
-4.1982 0.6581 -1.9904
-2.6999 -2.2298 4.9575
-0.4140 9.5704 4.0790
O P Mn Ti Li
16 4 3 1 4
direct
0.7920 0.2967 0.6636 O
0.2173 0.2030 0.3389 O
0.2747 0.7981 0.8351 O
0.2560 0.5000 0.0940 O
0.2747 0.2019 0.8351 O
0.2496 0.5000 0.5926 O
0.2173 0.7970 0.3389 O
0.7393 0.0000 0.9044 O
0.7904 0.5000 0.4555 O
0.7563 0.0000 0.4067 O
0.7166 0.2968 0.1620 O
0.7082 0.5000 0.9540 O
0.2885 0.0000 0.0437 O
0.2083 0.0000 0.5471 O
0.7920 0.7033 0.6636 O
0.7166 0.7032 0.1620 O
0.5828 0.5000 0.0919 P
0.4128 0.0000 0.9061 P
0.0830 0.0000 0.4088 P
0.9231 0.5000 0.5916 P
0.4764 0.5000 0.7806 Mn
0.0250 0.5000 0.2811 Mn
0.5234 0.0000 0.2191 Mn
0.9747 0.0000 0.7212 Ti
0.5007 0.7497 0.4985 Li
0.9998 0.7484 0.0027 Li
0.5007 0.2503 0.4985 Li
0.9998 0.2516 0.0027 Li
```

Calculated values
* uncorrected energy: -7.578 eV per atom
* space group: Pm, No. 6

---

[6]
A relaxed structure of AlCrSi3, computed with PBEsol.

Structure (POSCAR):
```
AlCrSi3
1.0
-1.8890 3.8644 1.1107
-1.4809 -1.8095 3.7773
3.7382 1.2359 2.0576
Si Cr Al
3 1 1
direct
0.5000 0.0000 0.0000 Si
0.0000 0.0000 0.5000 Si
0.0000 0.5000 0.0000 Si
0.0000 0.0000 0.0000 Cr
0.5000 0.5000 0.5000 Al
```

Calculated values
* uncorrected energy: -5.900 eV per atom
* space group: Pm-3m, No. 221

---

[7]
A relaxed structure of TlTcI2O, computed with PBEsol.

Structure (POSCAR):
```
TlTcI2O
1.0
-1.6269 -3.4270 1.2862
2.7832 -2.9738 -4.4031
4.7219 -0.8946 3.5889
Tc O I Tl
1 1 2 1
direct
0.5000 0.5000 0.5000 Tc
0.5000 0.0000 0.0000 O
0.0000 0.5000 0.0000 I
0.0000 0.0000 0.5000 I
0.0000 0.0000 0.0000 Tl
```

Calculated values
* uncorrected energy: -3.688 eV per atom
* space group: P4/mmm, No. 123

---

[8]
A relaxed structure of KBaPO4, computed with PBEsol.

Structure (POSCAR):
```
KBaPO4
1.0
-4.8763 2.5742 -1.2089
-3.8536 -6.3447 2.0341
-0.5594 3.3505 9.3911
O K Ba P
16 4 4 4
direct
0.0242 0.8029 0.6540 O
0.2500 0.5333 0.5842 O
0.2500 0.8026 0.4347 O
0.2500 0.0333 0.9158 O
0.5242 0.6971 0.1540 O
0.2500 0.3026 0.0653 O
0.9758 0.6971 0.1540 O
0.7500 0.4667 0.4158 O
0.7500 0.6974 0.9347 O
0.4758 0.3029 0.8460 O
0.9758 0.1971 0.3460 O
0.7500 0.1974 0.5653 O
0.5242 0.1971 0.3460 O
0.4758 0.8029 0.6540 O
0.0242 0.3029 0.8460 O
0.7500 0.9667 0.0842 O
0.7500 0.8391 0.4159 K
0.2500 0.6609 0.9159 K
0.2500 0.1609 0.5841 K
0.7500 0.3391 0.0841 K
0.7500 0.5093 0.6934 Ba
0.2500 0.4907 0.3066 Ba
0.7500 0.0093 0.8066 Ba
0.2500 0.9907 0.1934 Ba
0.2500 0.2356 0.9178 P
0.7500 0.7644 0.0822 P
0.7500 0.2644 0.4178 P
0.2500 0.7356 0.5822 P
```

Calculated values
* uncorrected energy: -6.969 eV per atom
* space group: Pnma, No. 62